A plane-wave DFT calculation with PBE-GGA was carried out for a relaxed structure of Cs3K8Li.

Cell and atoms, written as extended XYZ:
```
24
Lattice="14.922 0.000 0.000 -7.461 12.923 0.000 0.000 0.000 9.791" Properties=species:S:1:pos:R:3 pbc="T T T"
Cs 0.000 4.121 0.000
Cs -3.892 10.863 0.000
Cs 3.569 2.060 4.896
Cs 3.892 10.863 0.000
Cs 11.354 2.060 4.896
Cs 7.461 8.802 4.896
K 0.000 0.000 2.446
K 0.000 0.000 7.342
K -3.464 6.615 2.205
K 0.000 5.608 4.895
K -2.604 10.119 4.895
K 0.000 8.615 8.382
K 4.857 2.804 9.791
K 3.464 6.615 2.205
K 0.000 12.615 2.205
K 7.461 0.308 7.101
K 3.997 6.308 7.101
K 2.604 10.119 4.895
K 7.461 4.308 3.487
K 10.065 2.804 9.791
K 7.461 7.314 9.791
K 10.925 6.308 7.101
Li 0.000 8.615 2.337
Li 7.461 4.308 7.233
```

Values from the calculation:
Space-group type: P6_3mc (186)
ΔH_f (0 K) in eV/f.u.: 0.49


A plane-wave DFT calculation with PBE-GGA was carried out for a relaxed structure of CdCuIr2.

Cell and atoms, written as extended XYZ:
```
4
Lattice="2.757 0.000 0.000 0.000 4.592 0.000 -0.335 0.000 4.868" Properties=species:S:1:pos:R:3 pbc="T T T"
Cd 0.000 0.000 0.000
Cu 1.211 0.000 2.434
Ir 0.526 2.296 3.552
Ir 1.896 2.296 1.316
```

Values from the calculation:
Space-group type: P2/m (10)
ΔH_f (0 K) in eV/f.u.: 0.87


The records above give, respectively, total moment values of 0.00, 0.00 μB per formula unit.